VASP calculation (GGA-PBE) on crystalline Li2PrSmS4 at its relaxed geometry.

Properties
- volume (Å³ per cell) = 176.6
- density of states at the Fermi level (states/eV per cell) = 0.000
- theoretical density (kg/m³) = 4076
- size of the total moment (μB/atom) = 0.0000
- raw formation energy (eV/f.u.) = -14.3
- E_tot (eV/cell) = -44.09

Lattice parameters (Å, degrees): 6.6374 4.0508 7.0177 90.00 110.64 90.00
Space group P2/m (No. 10)
Unique sites:
Li 0.0000 0.0000 0.0000 x1
Li 0.0000 0.5000 0.5000 x1
Pr 0.5000 0.0000 0.5000 x1
Sm 0.5000 0.5000 0.0000 x1
S 0.2428 0.5000 0.2430 x2
S 0.2447 0.0000 0.7526 x2


VASP calculation (GGA-PBE) on crystalline ErZrC at its relaxed geometry.

Properties
- volume (Å³ per cell) = 58.7
- energy of formation (eV per atom) = -0.3983
- density of states at the Fermi level (states/eV per cell) = 3.188
- relative energy among the computed polymorphs (meV per atom) = 0
- theoretical density (kg/m³) = 7652
- size of the total moment (μB/atom) = 0.0978
- E_tot (eV/cell) = -23.53

Lattice parameters (Å, degrees): 3.4294 3.4294 5.7631 90.00 90.00 120.00
Space group P3m1 (No. 156)
Unique sites:
Er 0.0000 0.0000 0.0000 x1
Zr 0.3333 0.6667 0.4536 x1
C 0.6667 0.3333 0.2559 x1


VASP calculation (GGA-PBE) on crystalline TiFe2Co at its relaxed geometry.

Properties
- volume (Å³ per cell) = 208.8
- energy of formation (eV per atom) = 0.2290
- density of states at the Fermi level (states/eV per cell) = 12.571
- theoretical density (kg/m³) = 6949
- size of the total moment (μB/atom) = 1.1882
- E_tot (eV/cell) = -124.04

Lattice parameters (Å, degrees): 3.4100 3.4100 17.9591 90.00 90.00 90.00
Space group I-42d (No. 122)
Unique sites:
Ti 0.0000 0.0000 0.0000 x4
Fe 0.2420 0.2500 0.6250 x8
Co 0.0000 0.0000 0.5000 x4


VASP calculation (GGA-PBE) on crystalline Ac2NdGe2 at its relaxed geometry.

Properties
- volume (Å³ per cell) = 631.4
- energy of formation (eV per atom) = -0.6417
- density of states at the Fermi level (states/eV per cell) = 15.817
- relative energy among the computed polymorphs (meV per atom) = 26
- theoretical density (kg/m³) = 7822
- size of the total moment (μB/atom) = 0.0000
- E_tot (eV/cell) = -101.71

Lattice parameters (Å, degrees): 13.2498 4.6328 11.5553 90.00 117.11 90.00
Space group C2/m (No. 12)
Unique sites:
Ac 0.0147 0.0000 0.1885 x4
Ac 0.1790 0.0000 0.5892 x4
Nd 0.2266 0.5000 0.8681 x4
Ge 0.0067 0.5000 0.3905 x4
Ge 0.1128 0.5000 0.0555 x4


VASP calculation (GGA-PBE) on crystalline DyScGe at its relaxed geometry.

Properties
- volume (Å³ per cell) = 207.2
- energy of formation (eV per atom) = -0.7075
- density of states at the Fermi level (states/eV per cell) = 11.665
- relative energy among the computed polymorphs (meV per atom) = 4
- theoretical density (kg/m³) = 6735
- size of the total moment (μB/atom) = 0.3534
- E_tot (eV/cell) = -53.02

Lattice parameters (Å, degrees): 7.6023 7.6023 4.1393 90.00 90.00 120.00
Space group P-62m (No. 189)
Unique sites:
Dy 0.0000 0.5935 0.0000 x3
Sc 0.0000 0.2527 0.5000 x3
Ge 0.0000 0.0000 0.0000 x1
Ge 0.3333 0.6667 0.5000 x2


VASP calculation (GGA-PBE) on crystalline Y2BeFeTe at its relaxed geometry.

Properties
- volume (Å³ per cell) = 118.7
- density of states at the Fermi level (states/eV per cell) = 4.694
- theoretical density (kg/m³) = 5181
- size of the total moment (μB/atom) = 0.3835
- raw formation energy (eV/f.u.) = 2.1
- E_tot (eV/cell) = -26.17

Lattice parameters (Å, degrees): 5.1589 5.1589 4.4587 90.00 90.00 90.00
Space group P4/mmm (No. 123)
Unique sites:
Y 0.0000 0.5000 0.0000 x2
Be 0.0000 0.0000 0.0000 x1
Fe 0.5000 0.5000 0.5000 x1
Te 0.0000 0.0000 0.5000 x1


VASP calculation (GGA-PBE) on crystalline SmYErAl at its relaxed geometry.

Properties
- volume (Å³ per cell) = 112.2
- energy of formation (eV per atom) = -0.2012
- density of states at the Fermi level (states/eV per cell) = 3.399
- relative energy among the computed polymorphs (meV per atom) = 0
- theoretical density (kg/m³) = 6416
- size of the total moment (μB/atom) = 0.0000
- E_tot (eV/cell) = -20.29

Lattice parameters (Å, degrees): 3.5246 3.5246 9.0315 90.00 90.00 90.00
Space group P4mm (No. 99)
Unique sites:
Sm 0.0000 0.0000 0.0000 x1
Y 0.5000 0.5000 0.7061 x1
Er 0.5000 0.5000 0.2852 x1
Al 0.0000 0.0000 0.4935 x1


VASP calculation (GGA-PBE) on crystalline Ta3Cr at its relaxed geometry.

Properties
- volume (Å³ per cell) = 133.3
- energy of formation (eV per atom) = 0.0261
- density of states at the Fermi level (states/eV per cell) = 8.166
- theoretical density (kg/m³) = 14821
- size of the total moment (μB/atom) = 0.0000
- E_tot (eV/cell) = -90.15

Lattice parameters (Å, degrees): 3.1987 4.6059 9.0472 90.00 90.00 90.00
Space group Immm (No. 71)
Unique sites:
Ta 0.0000 0.0000 0.0000 x2
Ta 0.0000 0.5000 0.2347 x4
Cr 0.0000 0.0000 0.5000 x2


VASP calculation (GGA-PBE) on crystalline KMnV2 at its relaxed geometry.

Properties
- volume (Å³ per cell) = 311.5
- energy of formation (eV per atom) = 1.3245
- density of states at the Fermi level (states/eV per cell) = 18.665
- relative energy among the computed polymorphs (meV per atom) = 0
- theoretical density (kg/m³) = 4178
- size of the total moment (μB/atom) = 0.8777
- E_tot (eV/cell) = -92.82

Lattice parameters (Å, degrees): 6.7785 6.7785 6.7785 90.00 90.00 90.00
Space group Fm-3m (No. 225)
Unique sites:
K 0.0000 0.0000 0.0000 x4
Mn 0.0000 0.0000 0.5000 x4
V 0.2500 0.2500 0.2500 x8


VASP calculation (GGA-PBE) on crystalline YTlS2 at its relaxed geometry.

Properties
- volume (Å³ per cell) = 354.6
- density of states at the Fermi level (states/eV per cell) = 0.000
- theoretical density (kg/m³) = 6695
- size of the total moment (μB/atom) = 0.0000
- raw formation energy (eV/f.u.) = -4.2
- E_tot (eV/cell) = -85.08

Lattice parameters (Å, degrees): 7.0779 7.0779 7.0779 90.00 90.00 90.00
Space group Fm-3m (No. 225)
Unique sites:
Y 0.0000 0.0000 0.0000 x4
Tl 0.0000 0.0000 0.5000 x4
S 0.2500 0.2500 0.2500 x8


VASP calculation (GGA-PBE) on crystalline GeSbTePd at its relaxed geometry.

Properties
- volume (Å³ per cell) = 179.7
- density of states at the Fermi level (states/eV per cell) = 3.166
- relative energy among the computed polymorphs (meV per atom) = 16
- theoretical density (kg/m³) = 7919
- size of the total moment (μB/atom) = 0.0000
- raw formation energy (eV/f.u.) = -0.5
- E_tot (eV/cell) = -35.20

Lattice parameters (Å, degrees): 3.1654 5.5472 10.2319 90.00 90.00 90.00
Space group Amm2 (No. 38)
Unique sites:
Ge 0.0000 0.0000 0.0000 x2
Sb 0.0000 0.0000 0.4185 x2
Te 0.5000 0.0000 0.7188 x2
Pd 0.5000 0.0000 0.1982 x2


VASP calculation (GGA-PBE) on crystalline KRbPt at its relaxed geometry.

Properties
- volume (Å³ per cell) = 1642.9
- energy of formation (eV per atom) = 0.0924
- density of states at the Fermi level (states/eV per cell) = 19.228
- relative energy among the computed polymorphs (meV per atom) = 161
- theoretical density (kg/m³) = 5169
- size of the total moment (μB/atom) = 0.0000
- E_tot (eV/cell) = -125.26

Lattice parameters (Å, degrees): 6.5880 10.3604 24.0706 90.00 90.00 90.00
Space group Fddd (No. 70, origin choice 2)
Unique sites:
K 0.1250 0.1250 0.0343 x16
Rb 0.1250 0.2937 0.6250 x16
Pt 0.1250 0.1250 0.5011 x16